Here is an optimized crystal structure of PmPr2Nd2Ho from the Alexandria database. Energies are from GGA-PBE.

Unit cell a=7.1369 b=5.7900 c=10.0021 alpha=90.00 beta=90.00 gamma=90.00
Positions (direct):
1 Pm 0.2500 0.0000 0.1613
2 Pm 0.7500 0.0000 0.8387
3 Pr 0.0000 0.0000 0.5000
4 Pr 0.2500 0.5000 0.6736
5 Pr 0.5000 0.0000 0.5000
6 Pr 0.7500 0.5000 0.3264
7 Nd 0.2500 0.0000 0.8337
8 Nd 0.2500 0.5000 0.3335
9 Nd 0.7500 0.0000 0.1663
10 Nd 0.7500 0.5000 0.6665
11 Ho 0.0000 0.5000 0.0000
12 Ho 0.5000 0.5000 0.0000

Calculated values
The calculated volume comes out at 413.3 Å³ per cell. For the total magnetization, the calculation gives 0.00 μB per cell. Its formation energy is 54 meV per atom.